# ScAgSbTe2 (PBEsol, optimized geometry)
data_ScAgSbTe2
_chemical_formula_sum 'Sc1 Ag1 Sb1 Te2'
_space_group_name_H-M_alt 'P 4/m m m'
_space_group_IT_number 123
_space_group_name_Hall '-P 4 2'
_cell_length_a 5.311
_cell_length_b 5.311
_cell_length_c 5.205
_cell_angle_alpha 90.00
_cell_angle_beta 90.00
_cell_angle_gamma 90.00
loop_
_atom_site_label
_atom_site_type_symbol
_atom_site_fract_x
_atom_site_fract_y
_atom_site_fract_z
Sc1 Sc 0.000 0.000 0.000
Ag1 Ag 0.500 0.500 0.500
Sb1 Sb 0.500 0.500 0.000
Te1 Te 0.000 0.500 0.500
# final energy: -3.97 eV/atom
# formation energy from raw total energies: 332 meV per atom
# density of states at the Fermi level: 4.48 states/eV/f.u.
# spin magnetization: 0.00 μB per formula unit
# calculated density: 5.99 g/cm3